No. 1
VASP calculation (PBE-GGA) on NpB4 after structural relaxation.

Raw total energy (eV/f.u.): -41.7
Total moment (μB/cell): 13.075
Volume (A^3/atom): 9.89

Cell lengths 7.0521, 7.0521, 3.9767 Å; angles 90.00, 90.00, 90.00 degrees
Space group P4/mbm (No. 127)
Asymmetric unit:
Np1 0.1881 0.3119 0.0000 x4
B1 0.0000 0.0000 0.2008 x4
B2 0.0392 0.8218 0.5000 x8
B3 0.0870 0.5870 0.5000 x4

***

No. 2
VASP calculation (PBE-GGA) on NpBOs after structural relaxation.

Raw total energy (eV/f.u.): -26.8
ΔE to the lowest computed polymorph (meV per atom): 942
Total moment (μB/cell): 9.088
Volume (A^3/atom): 17.83

Cell lengths 5.9808, 5.9808, 5.9808 Å; angles 90.00, 90.00, 90.00 degrees
Space group F-43m (No. 216)
Asymmetric unit:
Np1 0.0000 0.0000 0.0000 x4
B1 0.2500 0.2500 0.7500 x4
Os1 0.2500 0.2500 0.2500 x4

***

No. 3
VASP calculation (PBE-GGA) on NpBOs after structural relaxation.

Raw total energy (eV/f.u.): -29.6
ΔE to the lowest computed polymorph (meV per atom): 0
Total moment (μB/cell): 10.782
Volume (A^3/atom): 15.35

Cell lengths 5.6895, 5.6895, 5.6895 Å; angles 90.00, 90.00, 90.00 degrees
Space group F-43m (No. 216)
Asymmetric unit:
Np1 0.0000 0.0000 0.0000 x4
B1 0.2500 0.2500 0.2500 x4
Os1 0.0000 0.0000 0.5000 x4

***

No. 4
VASP calculation (PBE-GGA) on PrNpB after structural relaxation.

Raw total energy (eV/f.u.): -22.6
ΔE to the lowest computed polymorph (meV per atom): 0
Total moment (μB/cell): 17.583
Volume (A^3/atom): 22.14

Cell lengths 6.4285, 6.4285, 6.4285 Å; angles 90.00, 90.00, 90.00 degrees
Space group F-43m (No. 216)
Asymmetric unit:
Pr1 0.0000 0.0000 0.0000 x4
Np1 0.0000 0.0000 0.5000 x4
B1 0.2500 0.2500 0.7500 x4

***

No. 5
VASP calculation (PBE-GGA) on PuNpB after structural relaxation.

Raw total energy (eV/f.u.): -32.8
ΔE to the lowest computed polymorph (meV per atom): 0
Total moment (μB/cell): 34.348
Volume (A^3/atom): 18.77

Cell lengths 6.0846, 6.0846, 6.0846 Å; angles 90.00, 90.00, 90.00 degrees
Space group F-43m (No. 216)
Asymmetric unit:
Pu1 0.0000 0.0000 0.0000 x4
Np1 0.0000 0.0000 0.5000 x4
B1 0.2500 0.2500 0.7500 x4

***

No. 6
VASP calculation (PBE-GGA) on RbNpB after structural relaxation.

Raw total energy (eV/f.u.): -15.4
Total moment (μB/cell): 17.441
Volume (A^3/atom): 26.82

Cell lengths 6.8528, 6.8528, 6.8528 Å; angles 90.00, 90.00, 90.00 degrees
Space group F-43m (No. 216)
Asymmetric unit:
Rb1 0.0000 0.0000 0.0000 x4
Np1 0.0000 0.0000 0.5000 x4
B1 0.2500 0.2500 0.7500 x4

***

No. 7
VASP calculation (PBE-GGA) on NpBSb after structural relaxation.

Raw total energy (eV/f.u.): -20.5
ΔE to the lowest computed polymorph (meV per atom): 641
Total moment (μB/cell): 13.842
Volume (A^3/atom): 22.43

Cell lengths 6.4565, 6.4565, 6.4565 Å; angles 90.00, 90.00, 90.00 degrees
Space group F-43m (No. 216)
Asymmetric unit:
Np1 0.0000 0.0000 0.0000 x4
B1 0.2500 0.2500 0.7500 x4
Sb1 0.2500 0.2500 0.2500 x4

***

No. 8
VASP calculation (PBE-GGA) on NpBSb after structural relaxation.

Raw total energy (eV/f.u.): -22.4
ΔE to the lowest computed polymorph (meV per atom): 0
Total moment (μB/cell): 16.974
Volume (A^3/atom): 19.34

Cell lengths 6.1452, 6.1452, 6.1452 Å; angles 90.00, 90.00, 90.00 degrees
Space group F-43m (No. 216)
Asymmetric unit:
Np1 0.0000 0.0000 0.0000 x4
B1 0.2500 0.2500 0.2500 x4
Sb1 0.0000 0.0000 0.5000 x4